Entry from the Alexandria database: HoCdCu5 after structural relaxation (GGA-PBE).

a b c (Å): 8.259 5.017 10.490
angles (deg): 90.00 90.00 90.00
Atoms (fractional coordinates):
Ho 0.248 0.250 0.065
Ho 0.252 0.750 0.565
Ho 0.748 0.250 0.435
Ho 0.752 0.750 0.935
Cd 0.135 0.750 0.864
Cd 0.365 0.250 0.364
Cd 0.635 0.750 0.636
Cd 0.865 0.250 0.136
Cu 0.053 0.750 0.107
Cu 0.068 0.002 0.314
Cu 0.068 0.498 0.314
Cu 0.085 0.250 0.516
Cu 0.187 0.250 0.741
Cu 0.313 0.750 0.241
Cu 0.415 0.750 0.016
Cu 0.432 0.502 0.814
Cu 0.432 0.998 0.814
Cu 0.447 0.250 0.607
Cu 0.553 0.750 0.393
Cu 0.568 0.002 0.186
Cu 0.568 0.498 0.186
Cu 0.585 0.250 0.984
Cu 0.687 0.250 0.759
Cu 0.813 0.750 0.259
Cu 0.915 0.750 0.484
Cu 0.932 0.502 0.686
Cu 0.932 0.998 0.686
Cu 0.947 0.250 0.893

## Properties
Energy of formation from the pure elements in eV/atom: -0.18
Total magnetization in μB per formula unit: 0.0

Entry from the Alexandria database: Ho6CdCu5 after structural relaxation (GGA-PBE).

a b c (Å): 7.822 7.822 7.004
angles (deg): 90.00 90.00 143.09
Atoms (fractional coordinates):
Ho 0.000 0.000 0.237
Ho 0.000 0.000 0.763
Ho 0.328 0.672 0.245
Ho 0.328 0.672 0.755
Ho 0.672 0.328 0.245
Ho 0.672 0.328 0.755
Cd 0.500 0.500 0.500
Cu 0.160 0.840 0.500
Cu 0.165 0.835 0.000
Cu 0.500 0.500 0.000
Cu 0.835 0.165 0.000
Cu 0.840 0.160 0.500

## Properties
Energy of formation from the pure elements in eV/atom: -0.25
Total magnetization in μB per formula unit: 0.0

Entry from the Alexandria database: Ho11Cd9Cu4 after structural relaxation (GGA-PBE).

a b c (Å): 13.038 13.038 3.639
angles (deg): 90.00 90.00 112.39
Atoms (fractional coordinates):
Ho 0.000 0.000 0.000
Ho 0.078 0.416 0.000
Ho 0.162 0.838 0.000
Ho 0.305 0.305 0.000
Ho 0.369 0.631 0.000
Ho 0.416 0.078 0.000
Ho 0.584 0.922 0.000
Ho 0.631 0.369 0.000
Ho 0.695 0.695 0.000
Ho 0.838 0.162 0.000
Ho 0.922 0.584 0.000
Cd 0.073 0.217 0.500
Cd 0.156 0.633 0.500
Cd 0.217 0.073 0.500
Cd 0.367 0.844 0.500
Cd 0.500 0.500 0.500
Cd 0.633 0.156 0.500
Cd 0.783 0.927 0.500
Cd 0.844 0.367 0.500
Cd 0.927 0.783 0.500
Cu 0.253 0.451 0.500
Cu 0.451 0.253 0.500
Cu 0.549 0.747 0.500
Cu 0.747 0.549 0.500

## Properties
Energy of formation from the pure elements in eV/atom: -0.31
Total magnetization in μB per formula unit: 0.0